1.
Computed, not measured: a relaxed LaErHf crystal at the GGA-PBE level of DFT.

Unit cell a=7.3826 b=7.3826 c=7.3826 alpha=90.00 beta=90.00 gamma=90.00
Space group F-43m (No. 216)
One atom of each set of equivalent atoms:
La 0.0000 0.0000 0.0000
Er 0.0000 0.0000 0.5000
Hf 0.2500 0.2500 0.7500

Values from the calculation:
Formation enthalpy at 0 K, meV/atom: 813
VASP energy, eV/f.u.: -17.00
Total moment, μB/cell: 7.8


2.
Computed, not measured: a relaxed ErLuHf crystal at the GGA-PBE level of DFT.

Unit cell a=7.2523 b=7.2523 c=7.2523 alpha=90.00 beta=90.00 gamma=90.00
Space group F-43m (No. 216)
One atom of each set of equivalent atoms:
Er 0.0000 0.0000 0.0000
Lu 0.0000 0.0000 0.5000
Hf 0.2500 0.2500 0.2500

Values from the calculation:
Formation enthalpy at 0 K, meV/atom: 856
VASP energy, eV/f.u.: -16.47
Total moment, μB/cell: 2.8


3.
Computed, not measured: a relaxed Er2HfN3 crystal at the GGA-PBE level of DFT.

Unit cell a=3.3171 b=3.3171 c=8.2036 alpha=90.00 beta=90.00 gamma=120.00
Space group P-3m1 (No. 164)
One atom of each set of equivalent atoms:
Er 0.3333 0.6667 0.3316
Hf 0.0000 0.0000 0.0000
N 0.0000 0.0000 0.5000
N 0.3333 0.6667 0.8495

Values from the calculation:
VASP energy, eV/f.u.: -54.96
Total moment, μB/cell: 0.0


4.
Computed, not measured: a relaxed ErHf2N3 crystal at the GGA-PBE level of DFT.

Unit cell a=3.2505 b=3.2505 c=8.0198 alpha=90.00 beta=90.00 gamma=120.00
Space group P-3m1 (No. 164)
One atom of each set of equivalent atoms:
Er 0.0000 0.0000 0.0000
Hf 0.3333 0.6667 0.3377
N 0.0000 0.0000 0.5000
N 0.3333 0.6667 0.8164

Values from the calculation:
VASP energy, eV/f.u.: -60.25
Total moment, μB/cell: 0.0


5.
Computed, not measured: a relaxed ErHfNO crystal at the GGA-PBE level of DFT.

Unit cell a=4.1223 b=4.1223 c=8.0709 alpha=90.00 beta=90.00 gamma=90.00
Space group P4/nmm (No. 129, origin choice 2)
One atom of each set of equivalent atoms:
Er 0.2500 0.2500 0.1141
Hf 0.2500 0.7500 0.5000
N 0.2500 0.2500 0.5638
O 0.2500 0.7500 0.0000

Values from the calculation:
VASP energy, eV/f.u.: -35.77
Total moment, μB/cell: 0.0


6.
Computed, not measured: a relaxed ErHfNO crystal at the GGA-PBE level of DFT.

Unit cell a=4.6216 b=3.8306 c=6.5928 alpha=90.00 beta=90.00 gamma=90.00
Space group Pmma (No. 51)
One atom of each set of equivalent atoms:
Er 0.2500 0.0000 0.1564
Hf 0.2500 0.5000 0.6696
N 0.2500 0.5000 0.3544
O 0.2500 0.0000 0.7966

Values from the calculation:
VASP energy, eV/f.u.: -36.19
Total moment, μB/cell: 0.0


7.
Computed, not measured: a relaxed ErHfNO crystal at the GGA-PBE level of DFT.

Unit cell a=3.5131 b=6.1322 c=5.8381 alpha=90.00 beta=90.00 gamma=90.00
Space group Pmc2_1 (No. 26)
One atom of each set of equivalent atoms:
Er 0.0000 0.1757 0.0000
Hf 0.5000 0.3664 0.4543
N 0.0000 0.1800 0.4135
O 0.5000 0.2997 0.8142

Values from the calculation:
VASP energy, eV/f.u.: -35.55
Total moment, μB/cell: 0.7


8.
Computed, not measured: a relaxed ErHfNO crystal at the GGA-PBE level of DFT.

Unit cell a=7.9518 b=6.2076 c=4.7380 alpha=90.00 beta=90.00 gamma=90.00
Space group Pbcm (No. 57)
One atom of each set of equivalent atoms:
Er 0.1351 0.0778 0.2500
Hf 0.3902 0.5502 0.2500
N 0.1348 0.0508 0.7500
O 0.3658 0.6131 0.7500

Values from the calculation:
VASP energy, eV/f.u.: -35.79
Total moment, μB/cell: 0.0


9.
Computed, not measured: a relaxed ErHfNO crystal at the GGA-PBE level of DFT.

Unit cell a=4.4122 b=4.4122 c=5.9627 alpha=90.00 beta=90.00 gamma=90.00
Space group P4/nmm (No. 129, origin choice 2)
One atom of each set of equivalent atoms:
Er 0.2500 0.7500 0.0000
Hf 0.2500 0.2500 0.4576
N 0.2500 0.2500 0.1215
O 0.2500 0.7500 0.5000

Values from the calculation:
VASP energy, eV/f.u.: -35.30
Total moment, μB/cell: 0.0


10.
Computed, not measured: a relaxed ErHfNi crystal at the GGA-PBE level of DFT.

Unit cell a=6.3423 b=6.3423 c=6.3423 alpha=90.00 beta=90.00 gamma=90.00
Space group F-43m (No. 216)
One atom of each set of equivalent atoms:
Er 0.0000 0.0000 0.0000
Hf 0.0000 0.0000 0.5000
Ni 0.2500 0.2500 0.2500

Values from the calculation:
Formation enthalpy at 0 K, meV/atom: 7
VASP energy, eV/f.u.: -20.06
Total moment, μB/cell: 0.0


11.
Computed, not measured: a relaxed ErHfNp crystal at the GGA-PBE level of DFT.

Unit cell a=6.9428 b=6.9428 c=6.9428 alpha=90.00 beta=90.00 gamma=90.00
Space group F-43m (No. 216)
One atom of each set of equivalent atoms:
Er 0.0000 0.0000 0.0000
Hf 0.2500 0.2500 0.2500
Np 0.0000 0.0000 0.5000

Values from the calculation:
Formation enthalpy at 0 K, meV/atom: 1121
VASP energy, eV/f.u.: -23.93
Total moment, μB/cell: 19.3


12.
Computed, not measured: a relaxed Er2Hf2O5 crystal at the GGA-PBE level of DFT.

Unit cell a=4.0569 b=4.0569 c=7.3345 alpha=90.00 beta=90.00 gamma=90.00
Space group P4/mmm (No. 123)
One atom of each set of equivalent atoms:
Er 0.0000 0.0000 0.0000
Er 0.0000 0.0000 0.5000
Hf 0.5000 0.5000 0.2183
O 0.0000 0.5000 0.2627
O 0.5000 0.5000 0.5000

Values from the calculation:
VASP energy, eV/f.u.: -78.07
Total moment, μB/cell: 0.0


13.
Computed, not measured: a relaxed ErHf2O4 crystal at the GGA-PBE level of DFT.

Unit cell a=9.1314 b=9.1314 c=9.1314 alpha=90.00 beta=90.00 gamma=90.00
Space group Fd-3m (No. 227, origin choice 2)
One atom of each set of equivalent atoms:
Er 0.1250 0.1250 0.1250
Hf 0.0000 0.0000 0.5000
O 0.0093 0.0093 0.7407

Values from the calculation:
VASP energy, eV/f.u.: -63.88
Total moment, μB/cell: 0.1


14.
Computed, not measured: a relaxed Er2HfO3 crystal at the GGA-PBE level of DFT.

Unit cell a=3.3021 b=3.3021 c=8.0373 alpha=90.00 beta=90.00 gamma=120.00
Space group P-3m1 (No. 164)
One atom of each set of equivalent atoms:
Er 0.3333 0.6667 0.3258
Hf 0.0000 0.0000 0.0000
O 0.0000 0.0000 0.5000
O 0.3333 0.6667 0.8488

Values from the calculation:
VASP energy, eV/f.u.: -49.11
Total moment, μB/cell: 0.0


15.
Computed, not measured: a relaxed Er2Hf2O5 crystal at the GGA-PBE level of DFT.

Unit cell a=3.5669 b=3.5669 c=9.8695 alpha=90.00 beta=90.00 gamma=90.00
Space group P4/mmm (No. 123)
One atom of each set of equivalent atoms:
Er 0.0000 0.0000 0.2481
Hf 0.5000 0.5000 0.0000
Hf 0.5000 0.5000 0.5000
O 0.0000 0.0000 0.5000
O 0.0000 0.5000 0.1267

Values from the calculation:
VASP energy, eV/f.u.: -78.50
Total moment, μB/cell: 0.0


16.
Computed, not measured: a relaxed Er3Hf3Sb2Os crystal at the GGA-PBE level of DFT.

Unit cell a=7.8842 b=7.8842 c=4.0050 alpha=90.00 beta=90.00 gamma=120.00
Space group P-62m (No. 189)
One atom of each set of equivalent atoms:
Er 0.0000 0.6024 0.0000
Hf 0.0000 0.2325 0.5000
Sb 0.3333 0.6667 0.5000
Os 0.0000 0.0000 0.0000

Values from the calculation:
VASP energy, eV/f.u.: -68.61
Total moment, μB/cell: 0.0


17.
Computed, not measured: a relaxed Er3Hf3Sb2Os crystal at the GGA-PBE level of DFT.

Unit cell a=7.9820 b=7.9820 c=3.8155 alpha=90.00 beta=90.00 gamma=120.00
Space group P-62m (No. 189)
One atom of each set of equivalent atoms:
Er 0.0000 0.2505 0.0000
Hf 0.0000 0.6100 0.5000
Sb 0.3333 0.6667 0.0000
Os 0.0000 0.0000 0.5000

Values from the calculation:
VASP energy, eV/f.u.: -66.28
Total moment, μB/cell: 0.0


18.
Computed, not measured: a relaxed ErHf3P crystal at the GGA-PBE level of DFT.

Unit cell a=4.9203 b=4.9203 c=4.9203 alpha=90.00 beta=90.00 gamma=90.00
Space group Pm-3m (No. 221)
One atom of each set of equivalent atoms:
Er 0.0000 0.0000 0.0000
Hf 0.0000 0.5000 0.5000
P 0.5000 0.5000 0.5000

Values from the calculation:
VASP energy, eV/f.u.: -41.30
Total moment, μB/cell: 0.0


19.
Computed, not measured: a relaxed Er2HfP3 crystal at the GGA-PBE level of DFT.

Unit cell a=3.8561 b=3.8561 c=9.5022 alpha=90.00 beta=90.00 gamma=120.00
Space group P-3m1 (No. 164)
One atom of each set of equivalent atoms:
Er 0.3333 0.6667 0.3288
Hf 0.0000 0.0000 0.0000
P 0.0000 0.0000 0.5000
P 0.3333 0.6667 0.8460

Values from the calculation:
VASP energy, eV/f.u.: -44.35
Total moment, μB/cell: 0.0


20.
Computed, not measured: a relaxed ErHfPb crystal at the GGA-PBE level of DFT.

Unit cell a=6.9898 b=6.9898 c=6.9898 alpha=90.00 beta=90.00 gamma=90.00
Space group F-43m (No. 216)
One atom of each set of equivalent atoms:
Er 0.0000 0.0000 0.0000
Hf 0.0000 0.0000 0.5000
Pb 0.2500 0.2500 0.2500

Values from the calculation:
VASP energy, eV/f.u.: -17.49
Total moment, μB/cell: 0.0


21.
Computed, not measured: a relaxed ErHfZn2Pd4 crystal at the GGA-PBE level of DFT.

Unit cell a=4.5817 b=4.5817 c=6.5179 alpha=90.00 beta=90.00 gamma=90.00
Space group P4/mmm (No. 123)
One atom of each set of equivalent atoms:
Er 0.0000 0.0000 0.0000
Hf 0.5000 0.5000 0.5000
Zn 0.0000 0.0000 0.5000
Zn 0.5000 0.5000 0.0000
Pd 0.0000 0.5000 0.2637

Values from the calculation:
Formation enthalpy at 0 K, meV/atom: -725
VASP energy, eV/f.u.: -43.55
Total moment, μB/cell: 0.0


22.
Computed, not measured: a relaxed PmErHf crystal at the GGA-PBE level of DFT.

Unit cell a=7.3553 b=7.3553 c=7.3553 alpha=90.00 beta=90.00 gamma=90.00
Space group F-43m (No. 216)
One atom of each set of equivalent atoms:
Pm 0.0000 0.0000 0.0000
Er 0.0000 0.0000 0.5000
Hf 0.2500 0.2500 0.7500

Values from the calculation:
Formation enthalpy at 0 K, meV/atom: 855
VASP energy, eV/f.u.: -16.70
Total moment, μB/cell: 4.0


23.
Computed, not measured: a relaxed PrEr2Hf4 crystal at the GGA-PBE level of DFT.

Unit cell a=7.8726 b=7.8726 c=6.1323 alpha=90.00 beta=90.00 gamma=90.00
Space group I4/mmm (No. 139)
One atom of each set of equivalent atoms:
Pr 0.0000 0.0000 0.0000
Er 0.0000 0.5000 0.2500
Hf 0.1955 0.1955 0.5000

Values from the calculation:
Formation enthalpy at 0 K, meV/atom: 410
VASP energy, eV/f.u.: -50.85
Total moment, μB/cell: 1.8


24.
Computed, not measured: a relaxed PrErHf crystal at the GGA-PBE level of DFT.

Unit cell a=7.3987 b=7.3987 c=7.3987 alpha=90.00 beta=90.00 gamma=90.00
Space group F-43m (No. 216)
One atom of each set of equivalent atoms:
Pr 0.0000 0.0000 0.0000
Er 0.0000 0.0000 0.5000
Hf 0.2500 0.2500 0.7500

Values from the calculation:
Formation enthalpy at 0 K, meV/atom: 854
VASP energy, eV/f.u.: -16.73
Total moment, μB/cell: 5.3


25.
Computed, not measured: a relaxed RbErHf crystal at the GGA-PBE level of DFT.

Unit cell a=8.0476 b=8.0476 c=8.0476 alpha=90.00 beta=90.00 gamma=90.00
Space group F-43m (No. 216)
One atom of each set of equivalent atoms:
Rb 0.0000 0.0000 0.0000
Er 0.0000 0.0000 0.5000
Hf 0.2500 0.2500 0.7500

Values from the calculation:
VASP energy, eV/f.u.: -10.49
Total moment, μB/cell: 17.7